First-principles (PBE+U) data for a geometry-optimized Ac2NiF8 structure, as listed in Alexandria via LeMat-Bulk.

The value obtained for the total DFT energy (no corrections) is -65.03 eV/f.u. The calculation puts the volume at 14.1 Å³/atom.

abc: 4.2439 5.1213 7.8267
angles: 107.36 103.89 95.20
Space group P-1 (No. 2)
Inequivalent atoms, fractional coordinates:
Ac (0.1474, 0.1500, 0.3001) [2 per cell]
Ni (0.5000, 0.5000, 0.0000) [1 per cell]
F (0.0737, 0.2590, 0.0014) [2 per cell]
F (0.2270, 0.7384, 0.4562) [2 per cell]
F (0.3459, 0.6234, 0.7745) [2 per cell]
F (0.4400, 0.1418, 0.7884) [2 per cell]